No. 1
# PBE-GGA MgAs2PtBr, relaxed
data_MgAs2PtBr
_cell_length_a 4.8986
_cell_length_b 4.8986
_cell_length_c 5.3578
_cell_angle_alpha 90.00
_cell_angle_beta 90.00
_cell_angle_gamma 90.00
_symmetry_space_group_name_H-M 'P 1'
_symmetry_Int_Tables_number 1
loop_
_symmetry_equiv_pos_as_xyz
'x,y,z'
loop_
_atom_site_label
_atom_site_fract_x
_atom_site_fract_y
_atom_site_fract_z
_atom_site_occupancy
Pt1 0.0000 0.0000 0.0000 1
As1 0.0000 0.5000 0.0000 1
As2 0.5000 0.0000 0.0000 1
Mg1 0.5000 0.5000 0.5000 1
Br1 0.0000 0.0000 0.5000 1
# space group: P4/mmm (123)
# VASP energy: -3.435 eV per atom
# V: 25.7 A^3/atom

No. 2
# PBE-GGA MgReAs2Br, relaxed
data_MgReAs2Br
_cell_length_a 4.7538
_cell_length_b 4.7538
_cell_length_c 5.5838
_cell_angle_alpha 90.00
_cell_angle_beta 90.00
_cell_angle_gamma 90.00
_symmetry_space_group_name_H-M 'P 1'
_symmetry_Int_Tables_number 1
loop_
_symmetry_equiv_pos_as_xyz
'x,y,z'
loop_
_atom_site_label
_atom_site_fract_x
_atom_site_fract_y
_atom_site_fract_z
_atom_site_occupancy
As1 0.0000 0.5000 0.0000 1
As2 0.5000 0.0000 0.0000 1
Re1 0.0000 0.0000 0.0000 1
Mg1 0.5000 0.5000 0.5000 1
Br1 0.0000 0.0000 0.5000 1
# space group: P4/mmm (123)
# VASP energy: -4.653 eV per atom
# V: 25.2 A^3/atom

No. 3
# PBE-GGA MgAs2RhBr, relaxed
data_MgAs2RhBr
_cell_length_a 4.7714
_cell_length_b 4.7714
_cell_length_c 5.4015
_cell_angle_alpha 90.00
_cell_angle_beta 90.00
_cell_angle_gamma 90.00
_symmetry_space_group_name_H-M 'P 1'
_symmetry_Int_Tables_number 1
loop_
_symmetry_equiv_pos_as_xyz
'x,y,z'
loop_
_atom_site_label
_atom_site_fract_x
_atom_site_fract_y
_atom_site_fract_z
_atom_site_occupancy
As1 0.5000 0.0000 0.0000 1
As2 0.0000 0.5000 0.0000 1
Br1 0.0000 0.0000 0.5000 1
Mg1 0.5000 0.5000 0.5000 1
Rh1 0.0000 0.0000 0.0000 1
# space group: P4/mmm (123)
# VASP energy: -3.821 eV per atom
# V: 24.6 A^3/atom

No. 4
# PBE-GGA MgSbAsBr2, relaxed
data_MgSbAsBr2
_cell_length_a 4.9696
_cell_length_b 4.9696
_cell_length_c 5.5768
_cell_angle_alpha 90.00
_cell_angle_beta 90.00
_cell_angle_gamma 90.00
_symmetry_space_group_name_H-M 'P 1'
_symmetry_Int_Tables_number 1
loop_
_symmetry_equiv_pos_as_xyz
'x,y,z'
loop_
_atom_site_label
_atom_site_fract_x
_atom_site_fract_y
_atom_site_fract_z
_atom_site_occupancy
Br1 0.5000 0.0000 0.0000 1
Br2 0.0000 0.5000 0.0000 1
As1 0.0000 0.0000 0.5000 1
Sb1 0.5000 0.5000 0.5000 1
Mg1 0.0000 0.0000 0.0000 1
# space group: P4/mmm (123)
# VASP energy: -2.812 eV per atom
# V: 27.5 A^3/atom

No. 5
# PBE-GGA MgScAsBr2, relaxed
data_MgScAsBr2
_cell_length_a 5.1446
_cell_length_b 5.1446
_cell_length_c 5.5176
_cell_angle_alpha 90.00
_cell_angle_beta 90.00
_cell_angle_gamma 90.00
_symmetry_space_group_name_H-M 'P 1'
_symmetry_Int_Tables_number 1
loop_
_symmetry_equiv_pos_as_xyz
'x,y,z'
loop_
_atom_site_label
_atom_site_fract_x
_atom_site_fract_y
_atom_site_fract_z
_atom_site_occupancy
Sc1 0.0000 0.0000 0.0000 1
Br1 0.0000 0.5000 0.0000 1
Br2 0.5000 0.0000 0.0000 1
As1 0.0000 0.0000 0.5000 1
Mg1 0.5000 0.5000 0.5000 1
# space group: P4/mmm (123)
# VASP energy: -3.831 eV per atom
# V: 29.2 A^3/atom

No. 6
# PBE-GGA MgScAsBr2, relaxed
data_MgScAsBr2
_cell_length_a 4.8685
_cell_length_b 4.8685
_cell_length_c 5.6555
_cell_angle_alpha 90.00
_cell_angle_beta 90.00
_cell_angle_gamma 90.00
_symmetry_space_group_name_H-M 'P 1'
_symmetry_Int_Tables_number 1
loop_
_symmetry_equiv_pos_as_xyz
'x,y,z'
loop_
_atom_site_label
_atom_site_fract_x
_atom_site_fract_y
_atom_site_fract_z
_atom_site_occupancy
As1 0.0000 0.0000 0.5000 1
Sc1 0.5000 0.5000 0.5000 1
Br1 0.5000 0.0000 0.0000 1
Br2 0.0000 0.5000 0.0000 1
Mg1 0.0000 0.0000 0.0000 1
# space group: P4/mmm (123)
# VASP energy: -3.562 eV per atom
# V: 26.8 A^3/atom

No. 7
# PBE-GGA MgAsSeBr2, relaxed
data_MgAsSeBr2
_cell_length_a 5.2106
_cell_length_b 5.2106
_cell_length_c 5.3023
_cell_angle_alpha 90.00
_cell_angle_beta 90.00
_cell_angle_gamma 90.00
_symmetry_space_group_name_H-M 'P 1'
_symmetry_Int_Tables_number 1
loop_
_symmetry_equiv_pos_as_xyz
'x,y,z'
loop_
_atom_site_label
_atom_site_fract_x
_atom_site_fract_y
_atom_site_fract_z
_atom_site_occupancy
As1 0.0000 0.0000 0.0000 1
Mg1 0.5000 0.5000 0.5000 1
Br1 0.0000 0.5000 0.0000 1
Br2 0.5000 0.0000 0.0000 1
Se1 0.0000 0.0000 0.5000 1
# space group: P4/mmm (123)
# VASP energy: -2.689 eV per atom
# V: 28.8 A^3/atom

No. 8
# PBE-GGA MgAsSeBr2, relaxed
data_MgAsSeBr2
_cell_length_a 4.9483
_cell_length_b 4.9483
_cell_length_c 5.8442
_cell_angle_alpha 90.00
_cell_angle_beta 90.00
_cell_angle_gamma 90.00
_symmetry_space_group_name_H-M 'P 1'
_symmetry_Int_Tables_number 1
loop_
_symmetry_equiv_pos_as_xyz
'x,y,z'
loop_
_atom_site_label
_atom_site_fract_x
_atom_site_fract_y
_atom_site_fract_z
_atom_site_occupancy
Mg1 0.0000 0.0000 0.0000 1
As1 0.0000 0.0000 0.5000 1
Br1 0.5000 0.0000 0.0000 1
Br2 0.0000 0.5000 0.0000 1
Se1 0.5000 0.5000 0.5000 1
# space group: P4/mmm (123)
# VASP energy: -2.548 eV per atom
# V: 28.6 A^3/atom

- Which formula does entry 8 have?
  MgAsSeBr2

What did the third record say?
# PBE-GGA MgAs2RhBr, relaxed
data_MgAs2RhBr
_cell_length_a 4.7714
_cell_length_b 4.7714
_cell_length_c 5.4015
_cell_angle_alpha 90.00
_cell_angle_beta 90.00
_cell_angle_gamma 90.00
_symmetry_space_group_name_H-M 'P 1'
_symmetry_Int_Tables_number 1
loop_
_symmetry_equiv_pos_as_xyz
'x,y,z'
loop_
_atom_site_label
_atom_site_fract_x
_atom_site_fract_y
_atom_site_fract_z
_atom_site_occupancy
As1 0.5000 0.0000 0.0000 1
As2 0.0000 0.5000 0.0000 1
Br1 0.0000 0.0000 0.5000 1
Mg1 0.5000 0.5000 0.5000 1
Rh1 0.0000 0.0000 0.0000 1
# space group: P4/mmm (123)
# VASP energy: -3.821 eV per atom
# V: 24.6 A^3/atom

- The lowest VASP energy belongs to which entry?
  MgReAs2Br